(1)
Compound: Al2Bi2Te
Source: Alexandria
Functional: PBE
Structure: relaxed

Unit cell a=7.958 b=7.958 c=4.080 alpha=90.00 beta=90.00 gamma=90.00
Space group P4/mbm (No. 127)
Symmetry-distinct sites (fractional):
Al  0.129  0.371  0.000 [4 per cell]
Bi  0.163  0.663  0.500 [4 per cell]
Te  0.000  0.000  0.000 [2 per cell]

Values from the calculation:
E above lowest polymorph = 106 meV per atom
volume = 25.84 Å³ per atom
E_form (uncorrected) = 0.227 eV/atom
VASP energy = -3.45 eV per atom



(2)
Compound: NaEr2PaS6
Source: Alexandria
Functional: PBE
Structure: relaxed

Unit cell a=6.9048 b=6.9048 c=18.5856 alpha=90.00 beta=90.00 gamma=120.00
Space group R3 (No. 146, hexagonal axes)
Symmetry-distinct sites (fractional):
Na  0.0000  0.0000  0.0000 [3 per cell]
Er  0.0000  0.0000  0.2048 [3 per cell]
Er  0.0000  0.0000  0.7157 [3 per cell]
Pa  0.0000  0.0000  0.5191 [3 per cell]
S  0.0083  0.3208  0.1153 [9 per cell]
S  0.0624  0.7023  0.2791 [9 per cell]

Values from the calculation:
volume = 25.58 Å³ per atom
E_form (uncorrected) = -1.769 eV/atom
VASP energy = -6.24 eV per atom



(3)
Compound: Nd2PuTe2As2
Source: Alexandria
Functional: PBE
Structure: relaxed

Unit cell a=5.291 b=5.291 c=15.833 alpha=90.00 beta=90.00 gamma=90.00
Space group I4/mmm (No. 139)
Symmetry-distinct sites (fractional):
Nd  0.000  0.000  0.116 [4 per cell]
Pu  0.000  0.000  0.500 [2 per cell]
Te  0.000  0.000  0.312 [4 per cell]
As  0.000  0.500  0.000 [4 per cell]

Values from the calculation:
volume = 31.66 Å³ per atom
E_form (uncorrected) = -0.949 eV/atom
VASP energy = -6.59 eV per atom



(4)
Compound: Mg8Tl6In
Source: Alexandria
Functional: PBE
Structure: relaxed

Unit cell a=8.5221 b=8.5221 c=18.6096 alpha=90.00 beta=90.00 gamma=120.00
Space group R-3 (No. 148, hexagonal axes)
Symmetry-distinct sites (fractional):
Mg  0.0000  0.0000  0.2420 [6 per cell]
Mg  0.0185  0.7693  0.3873 [18 per cell]
Tl  0.0316  0.7802  0.9018 [18 per cell]
In  0.0000  0.0000  0.5000 [3 per cell]

Values from the calculation:
volume = 26.01 Å³ per atom
VASP energy = -1.96 eV per atom



(5)
Compound: AgOsPb2Br
Source: Alexandria
Functional: PBE
Structure: relaxed

Unit cell a=5.564 b=5.564 c=5.093 alpha=90.00 beta=90.00 gamma=90.00
Space group P4/mmm (No. 123)
Symmetry-distinct sites (fractional):
Ag  0.000  0.000  0.000 [1 per cell]
Os  0.000  0.000  0.500 [1 per cell]
Pb  0.000  0.500  0.000 [2 per cell]
Br  0.500  0.500  0.500 [1 per cell]

Values from the calculation:
volume = 31.53 Å³ per atom
E_form (uncorrected) = 1.212 eV/atom
VASP energy = -3.42 eV per atom



(6)
Compound: BaCeSn2Hg2
Source: Alexandria
Functional: PBE
Structure: relaxed

Unit cell a=4.9282 b=4.9282 c=8.9499 alpha=90.00 beta=90.00 gamma=120.00
Space group P-3m1 (No. 164)
Symmetry-distinct sites (fractional):
Ba  0.0000  0.0000  0.0000 [1 per cell]
Ce  0.0000  0.0000  0.5000 [1 per cell]
Sn  0.3333  0.6667  0.2585 [2 per cell]
Hg  0.3333  0.6667  0.6729 [2 per cell]

Values from the calculation:
volume = 31.37 Å³ per atom
VASP energy = -3.26 eV per atom



(7)
Compound: Cu2Tc2Rh
Source: Alexandria
Functional: PBE
Structure: relaxed

Unit cell a=3.323 b=3.323 c=13.283 alpha=90.00 beta=90.00 gamma=90.00
Space group I4/mmm (No. 139)
Symmetry-distinct sites (fractional):
Cu  0.000  0.500  0.250 [4 per cell]
Tc  0.000  0.000  0.094 [4 per cell]
Rh  0.000  0.000  0.500 [2 per cell]

Values from the calculation:
volume = 14.67 Å³ per atom
VASP energy = -6.65 eV per atom



(8)
Compound: NaY2Pt2
Source: Alexandria
Functional: PBE
Structure: relaxed

Unit cell a=4.876 b=4.876 c=11.124 alpha=90.00 beta=90.00 gamma=90.00
Space group I4/mmm (No. 139)
Symmetry-distinct sites (fractional):
Na  0.000  0.000  0.000 [2 per cell]
Y  0.000  0.500  0.250 [4 per cell]
Pt  0.000  0.000  0.382 [4 per cell]

Values from the calculation:
E above lowest polymorph = 141 meV per atom
volume = 26.44 Å³ per atom
VASP energy = -6.03 eV per atom



(9)
Compound: MgSeIN2
Source: Alexandria
Functional: PBE
Structure: relaxed

Unit cell a=3.954 b=3.954 c=6.560 alpha=90.00 beta=90.00 gamma=90.00
Space group P4/mmm (No. 123)
Symmetry-distinct sites (fractional):
Mg  0.000  0.000  0.000 [1 per cell]
Se  0.500  0.500  0.000 [1 per cell]
I  0.500  0.500  0.500 [1 per cell]
N  0.000  0.500  0.500 [2 per cell]

Values from the calculation:
E above lowest polymorph = 68 meV per atom
volume = 20.51 Å³ per atom
E_form (uncorrected) = 1.301 eV/atom
VASP energy = -3.36 eV per atom



(10)
Compound: MgSbTe2H
Source: Alexandria
Functional: PBE
Structure: relaxed

Unit cell a=5.511 b=5.511 c=5.434 alpha=90.00 beta=90.00 gamma=90.00
Space group P4/mmm (No. 123)
Symmetry-distinct sites (fractional):
Mg  0.000  0.000  0.000 [1 per cell]
Sb  0.000  0.000  0.500 [1 per cell]
Te  0.000  0.500  0.000 [2 per cell]
H  0.500  0.500  0.500 [1 per cell]

Values from the calculation:
E above lowest polymorph = 563 meV per atom
volume = 33.01 Å³ per atom
VASP energy = -2.31 eV per atom



(11)
Compound: YHPd2Au
Source: Alexandria
Functional: PBE
Structure: relaxed

Unit cell a=4.137 b=4.137 c=4.507 alpha=90.00 beta=90.00 gamma=90.00
Space group P4/mmm (No. 123)
Symmetry-distinct sites (fractional):
Y  0.000  0.000  0.000 [1 per cell]
H  0.000  0.000  0.500 [1 per cell]
Pd  0.000  0.500  0.500 [2 per cell]
Au  0.500  0.500  0.000 [1 per cell]

Values from the calculation:
E above lowest polymorph = 0 meV per atom
volume = 15.43 Å³ per atom
VASP energy = -5.27 eV per atom



(12)
Compound: TaAlMo2
Source: Alexandria
Functional: PBE
Structure: relaxed

Unit cell a=3.265 b=4.498 c=8.879 alpha=90.00 beta=90.00 gamma=90.00
Space group Immm (No. 71)
Symmetry-distinct sites (fractional):
Ta  0.000  0.000  0.000 [2 per cell]
Al  0.000  0.000  0.500 [2 per cell]
Mo  0.000  0.500  0.258 [4 per cell]

Values from the calculation:
volume = 16.30 Å³ per atom
VASP energy = -9.43 eV per atom



(13)
Compound: MnBePd5
Source: Alexandria
Functional: PBE
Structure: relaxed

Unit cell a=3.907 b=3.907 c=6.695 alpha=90.00 beta=90.00 gamma=90.00
Space group P4/mmm (No. 123)
Symmetry-distinct sites (fractional):
Mn  0.000  0.000  0.000 [1 per cell]
Be  0.500  0.500  0.500 [1 per cell]
Pd  0.000  0.500  0.296 [4 per cell]
Pd  0.500  0.500  0.000 [1 per cell]

Values from the calculation:
E above lowest polymorph = 0 meV per atom
volume = 14.60 Å³ per atom
VASP energy = -5.79 eV per atom



(14)
Compound: La2RhAu
Source: Alexandria
Functional: PBE
Structure: relaxed

Unit cell a=4.1915 b=4.1915 c=22.2055 alpha=90.00 beta=90.00 gamma=120.00
Space group R3m (No. 160, hexagonal axes)
Symmetry-distinct sites (fractional):
La  0.0000  0.0000  0.0000 [3 per cell]
La  0.0000  0.0000  0.1885 [3 per cell]
Rh  0.0000  0.0000  0.5948 [3 per cell]
Au  0.0000  0.0000  0.7600 [3 per cell]

Values from the calculation:
volume = 28.15 Å³ per atom
VASP energy = -5.88 eV per atom



(15)
Compound: Sm2Si7Ir12
Source: Alexandria
Functional: PBE
Structure: relaxed

Unit cell a=9.7723 b=9.7723 c=3.9120 alpha=90.00 beta=90.00 gamma=120.00
Space group P-3 (No. 147)
Symmetry-distinct sites (fractional):
Sm  0.3333  0.6667  0.2488 [2 per cell]
Si  0.0000  0.0000  0.0000 [1 per cell]
Si  0.1139  0.4038  0.7482 [6 per cell]
Ir  0.0614  0.6188  0.7488 [6 per cell]
Ir  0.1167  0.8552  0.2461 [6 per cell]

Values from the calculation:
volume = 15.41 Å³ per atom
E_form (uncorrected) = -0.829 eV/atom
VASP energy = -8.15 eV per atom



(16)
Compound: Tl2GePb2
Source: Alexandria
Functional: PBE
Structure: relaxed

Unit cell a=7.816 b=7.816 c=4.963 alpha=90.00 beta=90.00 gamma=90.00
Space group P4/mbm (No. 127)
Symmetry-distinct sites (fractional):
Tl  0.145  0.355  0.000 [4 per cell]
Ge  0.000  0.000  0.000 [2 per cell]
Pb  0.163  0.663  0.500 [4 per cell]

Values from the calculation:
E above lowest polymorph = 68 meV per atom
volume = 30.32 Å³ per atom
VASP energy = -3.12 eV per atom



(17)
Compound: TbPrHo2
Source: Alexandria
Functional: PBE
Structure: relaxed

Unit cell a=3.583 b=3.583 c=10.126 alpha=90.00 beta=90.00 gamma=90.00
Space group P4/mmm (No. 123)
Symmetry-distinct sites (fractional):
Tb  0.000  0.000  0.000 [1 per cell]
Pr  0.000  0.000  0.500 [1 per cell]
Ho  0.500  0.500  0.245 [2 per cell]

Values from the calculation:
E above lowest polymorph = 24 meV per atom
volume = 32.49 Å³ per atom
VASP energy = -4.62 eV per atom



(18)
Compound: Cs3RbCr2Cl8
Source: Alexandria
Functional: PBE
Structure: relaxed

Unit cell a=7.8320 b=7.8320 c=9.9798 alpha=90.00 beta=90.00 gamma=120.00
Space group P-3m1 (No. 164)
Symmetry-distinct sites (fractional):
Cs  0.0000  0.0000  0.0000 [1 per cell]
Cs  0.3333  0.6667  0.6245 [2 per cell]
Rb  0.0000  0.0000  0.5000 [1 per cell]
Cr  0.3333  0.6667  0.1903 [2 per cell]
Cl  0.1790  0.3580  0.3007 [6 per cell]
Cl  0.3333  0.6667  0.9593 [2 per cell]

Values from the calculation:
volume = 37.87 Å³ per atom
E_form (uncorrected) = -1.465 eV/atom
VASP energy = -4.15 eV per atom



(19)
Compound: Li2Cu
Source: Alexandria
Functional: PBE
Structure: relaxed

Unit cell a=4.017 b=4.017 c=21.523 alpha=90.00 beta=90.00 gamma=90.00
Space group I4_1/amd (No. 141, origin choice 2)
Symmetry-distinct sites (fractional):
Li  0.000  0.250  0.123 [8 per cell]
Li  0.000  0.250  0.287 [8 per cell]
Cu  0.000  0.250  0.787 [8 per cell]

Values from the calculation:
volume = 14.47 Å³ per atom
VASP energy = -2.63 eV per atom



(20)
Compound: RbAlInHg2
Source: Alexandria
Functional: PBE
Structure: relaxed

Unit cell a=6.297 b=6.297 c=6.801 alpha=90.00 beta=90.00 gamma=90.00
Space group P4/mmm (No. 123)
Symmetry-distinct sites (fractional):
Rb  0.000  0.000  0.000 [1 per cell]
Al  0.500  0.500  0.500 [1 per cell]
In  0.000  0.000  0.500 [1 per cell]
Hg  0.000  0.500  0.000 [2 per cell]

Values from the calculation:
E above lowest polymorph = 845 meV per atom
volume = 53.93 Å³ per atom
VASP energy = -0.77 eV per atom



(21)
Compound: NaMg6Tl2
Source: Alexandria
Functional: PBE
Structure: relaxed

Unit cell a=9.816 b=9.816 c=4.519 alpha=90.00 beta=90.00 gamma=90.00
Space group P4_2/mnm (No. 136)
Symmetry-distinct sites (fractional):
Na  0.000  0.000  0.000 [2 per cell]
Mg  0.005  0.340  0.000 [8 per cell]
Mg  0.176  0.176  0.500 [4 per cell]
Tl  0.167  0.833  0.500 [4 per cell]

Values from the calculation:
volume = 24.19 Å³ per atom
VASP energy = -1.75 eV per atom



(22)
Compound: BaSn6GePt2
Source: Alexandria
Functional: PBE
Structure: relaxed

Unit cell a=6.4246 b=6.4246 c=26.4771 alpha=90.00 beta=90.00 gamma=120.00
Space group R-3 (No. 148, hexagonal axes)
Symmetry-distinct sites (fractional):
Ba  0.0000  0.0000  0.0000 [3 per cell]
Sn  0.0228  0.6233  0.5506 [18 per cell]
Ge  0.0000  0.0000  0.5000 [3 per cell]
Pt  0.0000  0.0000  0.2762 [6 per cell]

Values from the calculation:
volume = 31.55 Å³ per atom
VASP energy = -4.29 eV per atom



(23)
Compound: Sr5Cu
Source: Alexandria
Functional: PBE
Structure: relaxed

Unit cell a=10.799 b=10.799 c=10.799 alpha=90.00 beta=90.00 gamma=90.00
Space group F-43m (No. 216)
Symmetry-distinct sites (fractional):
Sr  0.000  0.000  0.000 [4 per cell]
Sr  0.125  0.125  0.625 [16 per cell]
Cu  0.250  0.250  0.250 [4 per cell]

Values from the calculation:
E above lowest polymorph = 473 meV per atom
volume = 52.48 Å³ per atom
VASP energy = -1.59 eV per atom



(24)
Compound: GdTlCd2
Source: Alexandria
Functional: PBE
Structure: relaxed

Unit cell a=7.416 b=7.416 c=7.416 alpha=90.00 beta=90.00 gamma=90.00
Space group Fm-3m (No. 225)
Symmetry-distinct sites (fractional):
Gd  0.000  0.000  0.000 [4 per cell]
Tl  0.000  0.000  0.500 [4 per cell]
Cd  0.250  0.250  0.250 [8 per cell]

Values from the calculation:
E above lowest polymorph = 94 meV per atom
volume = 25.49 Å³ per atom
VASP energy = -4.74 eV per atom